*A*
The following is a PBE-GGA calculation of crystalline Na2Pd2S at its relaxed geometry, from Alexandria.

volume: 18.7 Å³/atom
space-group type: I4/mmm

Unit cell a=3.6319 b=3.6319 c=7.5304 alpha=76.05 beta=76.05 gamma=90.00
Sites, in units of the cell vectors:
1 Na 0.7500 0.2500 0.5000
2 Na 0.2500 0.7500 0.5000
3 S 0.0000 0.0000 0.0000
4 Pd 0.4089 0.4089 0.1823
5 Pd 0.5911 0.5911 0.8177

*B*
The following is a PBE-GGA calculation of crystalline Na2Pd2S at its relaxed geometry, from Alexandria.

volume: 19.2 Å³/atom
space-group type: P4/mbm

Unit cell a=6.3857 b=6.3857 c=4.6969 alpha=90.00 beta=90.00 gamma=90.00
Sites, in units of the cell vectors:
1 Na 0.1641 0.6641 0.5000
2 Na 0.6641 0.8359 0.5000
3 Na 0.8359 0.3359 0.5000
4 Na 0.3359 0.1641 0.5000
5 S 0.0000 0.0000 0.0000
6 S 0.5000 0.5000 0.0000
7 Pd 0.3365 0.8365 0.0000
8 Pd 0.8365 0.6635 0.0000
9 Pd 0.6635 0.1635 0.0000
10 Pd 0.1635 0.3365 0.0000

Which of them is the most stable? Correct choice: *B*.

*A*
The following is a PBE-GGA calculation of crystalline Na2Sb2Pd at its relaxed geometry, from Alexandria.

volume: 25.4 Å³/atom
space-group type: P4/mbm

Unit cell a=7.0145 b=7.0145 c=5.1545 alpha=90.00 beta=90.00 gamma=90.00
Sites, in units of the cell vectors:
1 Sb 0.3528 0.8528 0.0000
2 Sb 0.8528 0.6472 0.0000
3 Sb 0.6472 0.1472 0.0000
4 Sb 0.1472 0.3528 0.0000
5 Pd 0.0000 0.0000 0.0000
6 Pd 0.5000 0.5000 0.0000
7 Na 0.1694 0.6694 0.5000
8 Na 0.6694 0.8306 0.5000
9 Na 0.8306 0.3306 0.5000
10 Na 0.3306 0.1694 0.5000

*B*
The following is a PBE-GGA calculation of crystalline Na2Sb2Pd at its relaxed geometry, from Alexandria.

volume: 25.5 Å³/atom
space-group type: C2/m

Unit cell a=4.7239 b=6.0871 c=9.9127 alpha=87.15 beta=76.22 gamma=67.17
Sites, in units of the cell vectors:
1 Na 0.6728 0.3304 0.3241
2 Na 0.9180 0.2663 0.8977
3 Na 0.3272 0.6696 0.6759
4 Na 0.0820 0.7337 0.1023
5 Sb 0.0864 0.2645 0.5627
6 Sb 0.6384 0.8455 0.8777
7 Sb 0.9136 0.7355 0.4373
8 Sb 0.3616 0.1545 0.1223
9 Pd 0.6361 0.0860 0.6418
10 Pd 0.3639 0.9140 0.3582

Which of them is the most stable? Correct choice: *A*.